# DyEr8Tl6 (GGA-PBE, relaxed)
# DFT total energy (eV per atom): -3.806
# Formation energy from the elements (eV per atom): -0.1190
# Mass density (g/cm³): 9.91
data_DyEr8Tl6
_space_group_name_H-M_alt 'P 1'
_space_group_IT_number 1
_cell_length_a 8.3221
_cell_length_b 8.3221
_cell_length_c 8.3221
_cell_angle_alpha 65.57
_cell_angle_beta 65.57
_cell_angle_gamma 65.57
loop_
_space_group_symop_operation_xyz
'x,y,z'
loop_
_atom_site_label
_atom_site_type_symbol
_atom_site_fract_x
_atom_site_fract_y
_atom_site_fract_z
Dy1 Dy 0.0000 0.0000 0.0000
Er1 Er 0.1093 0.7759 0.4430
Er2 Er 0.2241 0.5570 0.8907
Er3 Er 0.3333 0.3333 0.3333
Er4 Er 0.4430 0.1093 0.7759
Er5 Er 0.5570 0.8907 0.2241
Er6 Er 0.6667 0.6667 0.6667
Er7 Er 0.7759 0.4430 0.1093
Er8 Er 0.8907 0.2241 0.5570
Tl1 Tl 0.0652 0.3991 0.7307
Tl2 Tl 0.2693 0.9348 0.6009
Tl3 Tl 0.3991 0.7307 0.0652
Tl4 Tl 0.6009 0.2693 0.9348
Tl5 Tl 0.7307 0.0652 0.3991
Tl6 Tl 0.9348 0.6009 0.2693